Computed, not measured: crystalline CaMnV4Cu2O12 at its relaxed geometry at the PBE+U level of DFT.

```
data_CaMnV4Cu2O12
_cell_length_a 7.338
_cell_length_b 7.473
_cell_length_c 7.489
_cell_angle_alpha 90.00
_cell_angle_beta 90.00
_cell_angle_gamma 90.00
_space_group_name_H-M_alt 'I m m m'
_space_group_IT_number 71
_space_group_name_Hall '-I 2 2'
loop_
_atom_site_label
_atom_site_type_symbol
_atom_site_fract_x
_atom_site_fract_y
_atom_site_fract_z
_atom_site_occupancy
Ca1 Ca 0.000 0.000 0.000 1
Mn1 Mn 0.000 0.000 0.500 1
V1 V 0.250 0.250 0.250 1
Cu1 Cu 0.000 0.500 0.000 1
Cu2 Cu 0.000 0.500 0.500 1
O1 O 0.000 0.295 0.178 1
O2 O 0.179 0.000 0.304 1
O3 O 0.192 0.316 0.500 1
```

Electronic total energy ... -285.76 eV per cell
Magnetic moment ... 13.97 Bohr magnetons per cell